Here is an optimized crystal structure of Ce8Tl2Ga from Alexandria via LeMat-Bulk. Energies are from PBE.

Calculated values
The calculated total energy is -0.376 Ry per atom. The formation energy comes out at -99 meV per atom. As for the magnetic moment: 0.47 μB per atom.

abc: 6.0117 8.7476 8.4443
angles: 58.80 72.57 54.67
Each line ends with the local moment (μB).
Atoms (fractional coordinates):
Ce  0.9494  0.0831  0.1889  0.35
Ce  0.9494  0.2720  0.8111  0.35
Ce  0.3426  0.3764  0.0000  0.59
Ce  0.5000  0.7841  0.4318  0.82
Ce  0.5000  0.2159  0.5682  0.82
Ce  0.6574  0.6236  0.0000  0.59
Ce  0.0506  0.7280  0.1889  0.35
Ce  0.0506  0.9169  0.8111  0.35
Tl  0.0000  0.3040  0.3921  -0.01
Tl  0.0000  0.6960  0.6079  -0.01
Ga  0.5000  0.0000  0.0000  -0.01

Here is an optimized crystal structure of Tb3Dy4TmS8 from Alexandria via LeMat-Bulk. Energies are from PBE.

Calculated values
The calculated total energy is -0.467 Ry per atom. The calculation puts the formation energy (no corrections) at -1.986 eV per atom. As for the magnetic moment: 0.00 μB per atom.

abc: 7.8134 7.8111 7.8132
angles: 120.01 120.00 90.00
Atoms (fractional coordinates):
Tb  0.5000  0.5000  0.0000
Tb  0.5000  0.5000  0.5000
Tb  0.0000  0.5000  0.5000
Dy  0.5000  0.0000  0.0000
Dy  0.5000  0.0000  0.5000
Dy  0.0000  0.0000  0.0000
Dy  0.0000  0.0000  0.5000
Tm  0.0000  0.5000  0.0000
S  0.2477  0.7492  0.0015
S  0.2477  0.7492  0.4954
S  0.2492  0.2477  0.4985
S  0.7538  0.7492  0.0015
S  0.2462  0.2508  0.9985
S  0.7508  0.7523  0.5015
S  0.7523  0.2508  0.5046
S  0.7523  0.2508  0.9985